[1]
Below is a relaxed structure of K2HgPb, with properties calculated at the GGA-PBE level.

Energy in Ry per atom: -0.115
Symmetry: I-42d
Calculated density in Mg/m³: 5.137
Density of states at the Fermi level in states/eV/atom: 0.82
Spin magnetization in μB per atom: 0.000
ΔH_f (0 K) in eV per atom: -0.012

Lattice parameters (Å, degrees): 7.641 7.641 7.641 100.84 100.84 128.60
Element x y z (fractional)
1 K 0.102 0.625 0.977
2 K 0.375 0.352 0.477
3 K 0.648 0.125 0.023
4 K 0.875 0.898 0.523
5 Hg 0.000 0.000 0.000
6 Hg 0.750 0.250 0.500
7 Pb 0.250 0.750 0.500
8 Pb 0.500 0.500 0.000

[2]
Below is a relaxed structure of PbSe8, with properties calculated at the GGA-PBE level.

E_form (uncorrected) in eV/f.u.: 1.59
Energy in Ry per atom: -0.245
Symmetry: I4/mmm
Calculated density in Mg/m³: 5.195
Density of states at the Fermi level in states/eV/atom: 0.50
Spin magnetization in μB per atom: 0.000

Lattice parameters (Å, degrees): 7.036 7.036 7.036 109.36 109.36 109.70
Element x y z (fractional)
1 Pb 0.000 0.000 0.000
2 Se 0.000 0.346 0.346
3 Se 0.000 0.654 0.654
4 Se 0.343 0.343 0.686
5 Se 0.343 0.657 0.000
6 Se 0.346 0.000 0.346
7 Se 0.654 0.000 0.654
8 Se 0.657 0.343 0.000
9 Se 0.657 0.657 0.314

[3]
Below is a relaxed structure of ScUTcRh, with properties calculated at the GGA-PBE level.

Energy in Ry per atom: -0.677
Symmetry: F-43m
Calculated density in Mg/m³: 10.995
Density of states at the Fermi level in states/eV/atom: 2.32
Spin magnetization in μB per atom: 0.418
ΔH_f (0 K) in eV per atom: -0.377

Lattice parameters (Å, degrees): 4.693 4.693 4.693 60.00 60.00 60.00
Element x y z (fractional)
1 Sc 0.000 0.000 0.000
2 U 0.500 0.500 0.500
3 Tc 0.750 0.750 0.750
4 Rh 0.250 0.250 0.250

[4]
Below is a relaxed structure of Ba2HfTeMo, with properties calculated at the GGA-PBE level.

E_form (uncorrected) in eV/f.u.: 5.34
Energy in Ry per atom: -0.330
Symmetry: P4/mmm
Calculated density in Mg/m³: 4.973
Density of states at the Fermi level in states/eV/atom: 1.08
Spin magnetization in μB per atom: 0.763

Lattice parameters (Å, degrees): 6.466 6.466 5.405 90.00 90.00 90.00
Element x y z (fractional)
1 Ba 0.000 0.500 0.000
2 Ba 0.500 0.000 0.000
3 Hf 0.000 0.000 0.000
4 Te 0.000 0.000 0.500
5 Mo 0.500 0.500 0.500